Here is an optimized crystal structure of TmMnFeP2 from the Alexandria database. Energies are from PBE.

The structure in extended XYZ format:
```
5
Lattice="-1.927 1.927 4.642 1.927 -1.927 4.642 1.927 1.927 -4.642" Properties=species:S:1:pos:R:3 pbc="T T T"
Tm 0.000 0.000 0.000
Mn 1.927 0.000 2.321
Fe 0.000 1.927 2.321
P 0.000 0.000 3.410
P 0.000 0.000 5.875
```

Values from the calculation:
Energy of formation from the pure elements, eV per atom: -0.97
Symmetry: I-4m2, No. 119
Volume, Å³/atom: 13.786
Density, kg/m³: 8230